Below is a relaxed TiV14Mo crystal, with properties calculated at the PBE-GGA level.

```
16
Lattice="3.0366 -4.2684 0.0000 3.0366 4.2684 0.0000 0.0000 0.0000 8.5482" Properties=species:S:1:pos:R:3 pbc="T T T"
Ti 0.0000 0.0000 0.0000
V 0.0000 0.0000 4.2741
V 1.5183 2.1342 0.0000
V 1.5183 2.1342 4.2741
V 3.0366 2.1767 2.1785
V 3.0366 2.1767 6.3696
V 1.5535 0.0000 2.2024
V 1.5535 0.0000 6.3457
V 1.5183 -2.1342 0.0000
V 1.5183 -2.1342 4.2741
V 3.0366 0.0000 4.2741
V 4.5197 0.0000 2.2024
V 4.5197 0.0000 6.3457
V 3.0366 -2.1767 2.1785
V 3.0366 -2.1767 6.3696
Mo 3.0366 0.0000 0.0000
```

Values from the calculation:
density of states at the Fermi level: 28.6 states/eV/cell
SG: Cmmm (65)
DFT formation energy: 0.00 eV per atom

***

Below is a relaxed Cr5Pb crystal, with properties calculated at the PBE-GGA level.

```
6
Lattice="1.5248 -6.2482 0.0000 1.5248 6.2482 0.0000 0.0000 0.0000 4.2896" Properties=species:S:1:pos:R:3 pbc="T T T"
Cr 0.0000 0.0000 0.0000
Cr 1.5248 3.9382 2.1448
Cr 1.5248 2.0958 0.0000
Cr 1.5248 -2.0958 0.0000
Cr 1.5248 -3.9382 2.1448
Pb 1.5248 0.0000 2.1448
```

Values from the calculation:
density of states at the Fermi level: 4.8 states/eV/cell
SG: Cmmm (65)
DFT formation energy: 0.49 eV per atom
excess energy over the best structure of this formula in the dataset: 0.1438 eV per atom

***

Below is a relaxed Pr12SnPd5 crystal, with properties calculated at the PBE-GGA level.

```
18
Lattice="-4.8976 5.0802 5.3797 4.8976 -5.0802 5.3797 4.8976 5.0802 -5.3797" Properties=species:S:1:pos:R:3 pbc="T T T"
Pr 4.8976 3.1714 -2.9668
Pr 2.8215 1.8265 0.0000
Pr 6.9737 1.8265 0.0000
Pr 1.9432 5.0802 -1.8730
Pr 2.9544 0.0000 3.5067
Pr 0.0000 1.9088 2.4129
Pr 4.8976 3.1714 2.9668
Pr 1.9432 5.0802 1.8730
Pr 2.9544 0.0000 7.2527
Pr -2.0761 3.2537 5.3797
Pr 2.0761 3.2537 5.3797
Pr 0.0000 1.9088 8.3465
Sn 0.0000 0.0000 5.3797
Pd 0.0000 0.0000 0.0000
Pd 4.8976 0.0000 1.3964
Pd 0.0000 3.5994 0.0000
Pd 0.0000 6.5610 0.0000
Pd 0.0000 5.0802 3.9833
```

Values from the calculation:
density of states at the Fermi level: 19.5 states/eV/cell
SG: Immm (71)
DFT formation energy: -0.51 eV per atom

***

Below is a relaxed CaLaY2Ru crystal, with properties calculated at the PBE-GGA level.

```
5
Lattice="5.3612 0.0000 0.0000 0.0000 5.3612 0.0000 0.0000 0.0000 5.7123" Properties=species:S:1:pos:R:3 pbc="T T T"
Ca 0.0000 0.0000 0.0000
La 2.6806 2.6806 0.0000
Y 0.0000 2.6806 2.8562
Y 2.6806 0.0000 2.8562
Ru 0.0000 0.0000 2.8562
```

Values from the calculation:
density of states at the Fermi level: 4.2 states/eV/cell
SG: P4/mmm (123)
DFT formation energy: -0.02 eV per atom
excess energy over the best structure of this formula in the dataset: 0.1345 eV per atom

***

Below is a relaxed BeNi3P crystal, with properties calculated at the PBE-GGA level.

```
5
Lattice="4.0880 0.0000 0.0000 0.0000 4.0880 0.0000 0.0000 0.0000 4.0880" Properties=species:S:1:pos:R:3 pbc="T T T"
Be 0.0000 0.0000 0.0000
Ni 0.0000 2.0440 2.0440
Ni 2.0440 0.0000 2.0440
Ni 2.0440 2.0440 0.0000
P 2.0440 2.0440 2.0440
```

Values from the calculation:
density of states at the Fermi level: 3.2 states/eV/cell
SG: Pm-3m (221)
DFT formation energy: 0.24 eV per atom
excess energy over the best structure of this formula in the dataset: 0.0000 eV per atom

***

Below is a relaxed LiGa2Au4 crystal, with properties calculated at the PBE-GGA level.

```
14
Lattice="5.1087 0.0000 0.0000 0.0000 10.6271 0.0000 0.0000 0.0000 4.5867" Properties=species:S:1:pos:R:3 pbc="T T T"
Li 0.0000 0.0000 0.0000
Li 2.5544 5.3136 0.0000
Ga 1.1750 1.8524 2.2934
Ga 1.3794 7.1659 2.2934
Ga 3.7294 3.4612 2.2934
Ga 3.9337 8.7747 2.2934
Au 0.0225 3.2446 0.0000
Au 1.2685 4.5705 2.2934
Au 1.2859 9.8840 2.2934
Au 2.5319 8.5582 0.0000
Au 2.5768 2.0689 0.0000
Au 3.8228 0.7431 2.2934
Au 3.8403 6.0566 2.2934
Au 5.0862 7.3825 0.0000
```

Values from the calculation:
density of states at the Fermi level: 1.3 states/eV/cell
SG: Pbam (55)
DFT formation energy: -0.30 eV per atom
excess energy over the best structure of this formula in the dataset: 0.0000 eV per atom

***

Below is a relaxed RbAg2F crystal, with properties calculated at the PBE-GGA level.

```
4
Lattice="0.0000 3.7370 3.7370 3.7370 0.0000 3.7370 3.7370 3.7370 0.0000" Properties=species:S:1:pos:R:3 pbc="T T T"
Rb 0.0000 0.0000 0.0000
Ag 1.8685 1.8685 1.8685
Ag 5.6055 5.6055 5.6055
F 3.7370 3.7370 3.7370
```

Values from the calculation:
density of states at the Fermi level: 2.7 states/eV/cell
E_form (uncorrected): -38 meV per atom
SG: Fm-3m (225)
excess energy over the best structure of this formula in the dataset: 0.4095 eV per atom

***

Below is a relaxed Sm3CdSe crystal, with properties calculated at the PBE-GGA level.

```
20
Lattice="7.6096 0.0000 0.0000 0.0000 4.5922 0.0000 0.0000 0.0000 16.4707" Properties=species:S:1:pos:R:3 pbc="T T T"
Sm 0.1138 1.1481 1.7092
Sm 0.9831 3.4442 7.3322
Sm 1.4737 1.1481 12.0145
Sm 2.3311 3.4442 3.7791
Sm 2.8217 1.1481 15.5675
Sm 3.6910 3.4442 9.9446
Sm 3.9186 1.1481 6.5262
Sm 4.7879 3.4442 0.9032
Sm 5.2785 1.1481 12.6916
Sm 6.1359 3.4442 4.4563
Sm 6.6265 1.1481 9.1386
Sm 7.4959 3.4442 14.7615
Cd 0.6537 1.1481 5.1173
Cd 3.1511 3.4442 13.3527
Cd 4.4586 1.1481 3.1180
Cd 6.9559 3.4442 11.3534
Se 1.6983 3.4442 0.6557
Se 2.1065 1.1481 8.8910
Se 5.5031 3.4442 7.5797
Se 5.9113 1.1481 15.8150
```

Values from the calculation:
density of states at the Fermi level: 22.3 states/eV/cell
E_form (uncorrected): -740 meV per atom
SG: Pnma (62)

***

Below is a relaxed Cs2LiPuF6 crystal, with properties calculated at the PBE-GGA level.

```
10
Lattice="0.0000 4.5291 4.5291 4.5291 0.0000 4.5291 4.5291 4.5291 0.0000" Properties=species:S:1:pos:R:3 pbc="T T T"
Cs 2.2645 2.2645 2.2645
Cs 6.7936 6.7936 6.7936
Li 0.0000 0.0000 0.0000
Pu 4.5291 4.5291 4.5291
F 4.5291 4.5291 2.2268
F 4.5291 2.2268 4.5291
F 6.8313 4.5291 4.5291
F 2.2268 4.5291 4.5291
F 4.5291 6.8313 4.5291
F 4.5291 4.5291 6.8313
```

Values from the calculation:
density of states at the Fermi level: 7.7 states/eV/cell
E_form (uncorrected): -3106 meV per atom
SG: Fm-3m (225)

***

Below is a relaxed AcHo3Tm8 crystal, with properties calculated at the PBE-GGA level.

```
12
Lattice="-3.1377 5.6560 5.7480 3.1377 -5.6560 5.7480 3.1377 5.6560 -5.7480" Properties=species:S:1:pos:R:3 pbc="T T T"
Ac 0.0000 0.0000 0.0000
Ho 3.1377 3.0068 0.0000
Ho 0.0000 5.6560 0.0000
Ho 0.0000 2.6491 5.7480
Tm 3.1377 -2.8026 3.7438
Tm 1.6063 5.6560 -2.7096
Tm 1.5314 0.0000 3.0385
Tm 0.0000 2.8534 2.0042
Tm 3.1377 2.8026 3.7438
Tm 1.6063 5.6560 2.7096
Tm 1.5314 0.0000 8.4576
Tm 0.0000 8.4585 2.0042
```

Values from the calculation:
density of states at the Fermi level: 18.8 states/eV/cell
SG: Immm (71)
DFT formation energy: 0.34 eV per atom

***

Below is a relaxed AlGeRuC2 crystal, with properties calculated at the PBE-GGA level.

```
5
Lattice="3.9151 0.0000 0.0000 0.0000 3.9151 0.0000 0.0000 0.0000 5.3938" Properties=species:S:1:pos:R:3 pbc="T T T"
Al 0.0000 0.0000 0.0000
Ge 1.9576 1.9576 0.0000
Ru 1.9576 1.9576 2.6969
C 0.0000 1.9576 2.6969
C 1.9576 0.0000 2.6969
```

Values from the calculation:
density of states at the Fermi level: 2.9 states/eV/cell
SG: P4/mmm (123)
DFT formation energy: 1.30 eV per atom

***

Below is a relaxed SrZnPdAu crystal, with properties calculated at the PBE-GGA level.

```
4
Lattice="2.2509 1.2996 5.2795 -2.2509 1.2996 5.2795 0.0000 -2.5991 5.2795" Properties=species:S:1:pos:R:3 pbc="T T T"
Sr 0.0000 0.0000 0.0000
Zn 0.0000 0.0000 7.7560
Pd 0.0000 0.0000 12.6535
Au 0.0000 0.0000 3.2344
```

Values from the calculation:
density of states at the Fermi level: 1.8 states/eV/cell
SG: R3m (160)
DFT formation energy: -0.59 eV per atom

***

Below is a relaxed CsLi2HOs crystal, with properties calculated at the PBE-GGA level.

```
5
Lattice="4.9932 0.0000 0.0000 0.0000 4.9932 0.0000 0.0000 0.0000 5.6776" Properties=species:S:1:pos:R:3 pbc="T T T"
Cs 0.0000 0.0000 0.0000
Li 0.0000 2.4966 2.8388
Li 2.4966 0.0000 2.8388
H 2.4966 2.4966 0.0000
Os 0.0000 0.0000 2.8388
```

Values from the calculation:
density of states at the Fermi level: 3.4 states/eV/cell
SG: P4/mmm (123)

***

Below is a relaxed V7Ni12Os crystal, with properties calculated at the PBE-GGA level.

```
20
Lattice="4.9052 2.8320 2.8573 -4.9052 2.8320 2.8573 0.0000 -5.6641 2.8573" Properties=species:S:1:pos:R:3 pbc="T T T"
V 0.0000 0.0000 0.0000
V -1.3097 -0.7562 2.1433
V 1.3097 -0.7562 2.1433
V 0.0000 1.5123 2.1433
V 0.0000 -1.5123 6.4288
V -1.3097 0.7562 6.4288
V 1.3097 0.7562 6.4288
Ni 0.0000 -3.2648 2.5129
Ni -2.8274 1.6324 2.5129
Ni -1.2828 -2.2219 4.2860
Ni -2.5656 0.0000 4.2860
Ni -2.8274 -1.6324 6.0591
Ni 1.2828 -2.2219 4.2860
Ni -1.2828 2.2219 4.2860
Ni 2.8274 1.6324 2.5129
Ni 2.5656 0.0000 4.2860
Ni 1.2828 2.2219 4.2860
Ni 2.8274 -1.6324 6.0591
Ni 0.0000 3.2649 6.0591
Os 0.0000 0.0000 4.2860
```

Values from the calculation:
density of states at the Fermi level: 27.3 states/eV/cell
SG: R-3m (166)
DFT formation energy: -0.12 eV per atom

***

Below is a relaxed Pr2PAu crystal, with properties calculated at the PBE-GGA level.

```
4
Lattice="2.0683 1.1941 7.4706 -2.0683 1.1941 7.4706 0.0000 -2.3883 7.4706" Properties=species:S:1:pos:R:3 pbc="T T T"
Pr 0.0000 0.0000 0.0000
Pr 0.0000 0.0000 4.1273
P 0.0000 0.0000 13.2605
Au 0.0000 0.0000 9.5288
```

Values from the calculation:
density of states at the Fermi level: 2.1 states/eV/cell
SG: R3m (160)
DFT formation energy: -1.07 eV per atom

***

Below is a relaxed KTaO3 crystal, with properties calculated at the PBE-GGA level.

```
10
Lattice="3.6157 0.0000 0.0000 -1.8078 3.1313 0.0000 0.0000 0.0000 14.3620" Properties=species:S:1:pos:R:3 pbc="T T T"
K 0.0000 0.0000 0.0000
K 0.0000 0.0000 7.1810
Ta 0.0000 2.0875 3.5905
Ta 1.8078 1.0438 10.7715
O 0.0000 0.0000 3.5905
O 0.0000 0.0000 10.7715
O 0.0000 2.0875 1.7225
O 0.0000 2.0875 5.4585
O 1.8078 1.0438 8.9035
O 1.8078 1.0438 12.6395
```

Values from the calculation:
density of states at the Fermi level: 0.0 states/eV/cell
E_form (uncorrected): -2079 meV per atom
SG: P6_3/mmc (194)

***

Below is a relaxed GdDyTmAg crystal, with properties calculated at the PBE-GGA level.

```
4
Lattice="0.0000 3.7919 3.7919 3.7919 0.0000 3.7919 3.7919 3.7919 0.0000" Properties=species:S:1:pos:R:3 pbc="T T T"
Gd 0.0000 0.0000 0.0000
Dy 3.7919 3.7919 3.7919
Tm 1.8960 1.8960 1.8960
Ag 5.6879 5.6879 5.6879
```

Values from the calculation:
density of states at the Fermi level: 3.4 states/eV/cell
SG: F-43m (216)
DFT formation energy: 0.05 eV per atom

***

Below is a relaxed PuAlGa crystal, with properties calculated at the PBE-GGA level.

```
6
Lattice="-2.7314 2.7863 3.8802 2.7314 -2.7863 3.8802 2.7314 2.7863 -3.8802" Properties=species:S:1:pos:R:3 pbc="T T T"
Pu 0.0000 1.3931 0.9867
Pu 2.7314 1.3931 2.8935
Al 1.3657 1.3931 -1.9401
Al 1.3657 -1.3931 1.9401
Ga 2.7314 0.0000 0.0000
Ga 0.0000 0.0000 3.8802
```

Values from the calculation:
density of states at the Fermi level: 11.8 states/eV/cell
SG: Imma (74)
DFT formation energy: -0.38 eV per atom

***

Below is a relaxed KTeBr2 crystal, with properties calculated at the PBE-GGA level.

```
4
Lattice="2.3946 1.3825 9.0322 -2.3946 1.3825 9.0322 0.0000 -2.7650 9.0322" Properties=species:S:1:pos:R:3 pbc="T T T"
K 0.0000 0.0000 0.0000
Te 0.0000 0.0000 13.5483
Br 0.0000 0.0000 10.7972
Br 0.0000 0.0000 16.2993
```

Values from the calculation:
density of states at the Fermi level: 1.4 states/eV/cell
E_form (uncorrected): -738 meV per atom
SG: R-3m (166)
excess energy over the best structure of this formula in the dataset: 0.0499 eV per atom

***

Below is a relaxed YTcN3 crystal, with properties calculated at the PBE-GGA level.

```
5
Lattice="4.2016 0.0000 0.0000 0.0000 4.2016 0.0000 0.0000 0.0000 4.2016" Properties=species:S:1:pos:R:3 pbc="T T T"
Y 0.0000 0.0000 0.0000
Tc 2.1008 2.1008 2.1008
N 0.0000 0.0000 2.1008
N 0.0000 2.1008 0.0000
N 2.1008 0.0000 0.0000
```

Values from the calculation:
density of states at the Fermi level: 6.7 states/eV/cell
E_form (uncorrected): 2006 meV per atom
SG: Pm-3m (221)

***

Below is a relaxed LiSc5Ag4 crystal, with properties calculated at the PBE-GGA level.

```
10
Lattice="3.4276 0.0000 0.0000 0.0000 3.4276 0.0000 0.0000 0.0000 17.2843" Properties=species:S:1:pos:R:3 pbc="T T T"
Li 0.0000 0.0000 0.0000
Sc 1.7138 1.7138 1.7480
Sc 1.7138 1.7138 5.1884
Sc 1.7138 1.7138 8.6421
Sc 1.7138 1.7138 12.0959
Sc 1.7138 1.7138 15.5363
Ag 0.0000 0.0000 3.4359
Ag 0.0000 0.0000 6.9113
Ag 0.0000 0.0000 10.3730
Ag 0.0000 0.0000 13.8484
```

Values from the calculation:
density of states at the Fermi level: 6.7 states/eV/cell
SG: P4/mmm (123)
DFT formation energy: -0.18 eV per atom

***

Below is a relaxed TlCo4P crystal, with properties calculated at the PBE-GGA level.

```
6
Lattice="0.0000 3.4608 3.4608 3.4608 0.0000 3.4608 3.4608 3.4608 0.0000" Properties=species:S:1:pos:R:3 pbc="T T T"
Tl 0.0000 0.0000 0.0000
Co 4.3205 2.6011 2.6011
Co 2.6011 4.3205 2.6011
Co 2.6011 2.6011 4.3205
Co 4.3205 4.3205 4.3205
P 1.7304 1.7304 1.7304
```

Values from the calculation:
density of states at the Fermi level: 8.5 states/eV/cell
SG: F-43m (216)
DFT formation energy: 0.49 eV per atom

***

Below is a relaxed Na2AgHF4 crystal, with properties calculated at the PBE-GGA level.

```
8
Lattice="0.0000 4.9771 3.3513 3.3600 0.0000 3.3513 3.3600 4.9771 0.0000" Properties=species:S:1:pos:R:3 pbc="T T T"
Na 1.6800 2.4886 0.0000
Na 1.6800 2.4886 3.3513
Ag 3.3600 4.9771 1.9036
H 3.3600 4.9771 6.1157
F 3.3600 2.6770 1.6798
F 5.5740 4.9771 2.8888
F 3.3600 7.2772 1.6798
F 1.1459 4.9771 2.8888
```

Values from the calculation:
density of states at the Fermi level: 0.0 states/eV/cell
SG: Fmm2 (42)

***

no.,electronic total energy (eV per atom),V (Å³ per cell)
1,-9.1527,221.59
2,-8.1428,81.74
3,-5.3621,535.41
4,-5.8421,164.19
5,-5.0511,68.32
6,-3.3095,249.02
7,-2.1732,104.38
8,-4.4510,575.57
9,-6.0240,185.80
10,-4.1309,408.03
11,-5.9176,82.68
12,-3.4441,92.67
13,-2.6256,141.55
14,-7.3411,238.16
15,-5.6282,110.71
16,-7.6441,162.60
17,-6.4564,109.05
18,-7.4128,118.12
19,-2.6343,179.41
20,-6.3550,74.17
21,-4.6821,203.07
22,-5.5476,82.90
23,-4.0225,112.09